[1]
# Tb3Sm8Sc2

A relaxed structure of Tb3Sm8Sc2 (GGA-PBE, the Alexandria database).

Lattice parameters (Å, degrees): 14.9444 9.1777 6.7660 90.00 109.20 90.00
Last column: nearest neighbours and their distance in Å.
Space group C2/m (No. 12)
Symmetry-distinct sites (fractional):
Tb 0.0000 0.0000 0.0000 [2 per cell]  6 Sm 3.15-3.48, 2 Sc 3.35
Tb 0.0000 0.1697 0.5000 [4 per cell]  1 Tb 3.11, 4 Sm 3.46-3.47
Sm 0.0957 0.5000 0.7168 [4 per cell]  4 Sm 3.36-3.54, 2 Tb 3.47, 1 Sc 3.52
Sm 0.1224 0.3192 0.1954 [8 per cell]  2 Sc 3.32-3.50, 3 Sm 3.32-3.54, 2 Tb 3.46-3.48
Sm 0.1898 0.0000 0.8932 [4 per cell]  1 Tb 3.15, 1 Sc 3.24, 3 Sm 3.42-3.48
Sc 0.1964 0.0000 0.4197 [4 per cell]  7 Sm 3.24-3.53, 3 Tb 3.35-3.52

Output
E = -122.81 eV per cell
ρ = 6.71 g/cm³
energy of formation = 0.22 eV/atom
volume = 876.38 Å³/cell


[2]
# Pm8CuRu2

A relaxed structure of Pm8CuRu2 (GGA-PBE, the Alexandria database).

Lattice parameters (Å, degrees): 8.4024 12.8696 6.2820 90.00 109.79 90.00
Last column: nearest neighbours and their distance in Å.
Space group Cm (No. 8)
Symmetry-distinct sites (fractional):
Pm 0.0000 0.0000 0.0000 [2 per cell]  1 Cu 3.02, 2 Ru 3.06
Pm 0.0742 0.3668 0.8058 [4 per cell]  2 Ru 2.79-2.85, 1 Cu 3.04
Pm 0.1467 0.1334 0.5908 [4 per cell]  2 Ru 2.82-2.84, 1 Cu 3.13
Pm 0.2223 0.5000 0.3926 [2 per cell]  2 Ru 3.08, 1 Cu 3.18
Pm 0.3657 0.2124 0.1924 [4 per cell]  1 Cu 2.97
Cu 0.3609 0.0000 0.0056 [2 per cell]  8 Pm 2.97-3.18
Ru 0.3597 0.3111 0.7004 [4 per cell]  6 Pm 2.79-3.08

Output
E = -122.84 eV per cell
offset from the most stable computed form = 0.054 eV per atom
ρ = 7.41 g/cm³
energy of formation = -0.07 eV/atom
volume = 639.19 Å³/cell


[3]
# CaCr4Au

A relaxed structure of CaCr4Au (GGA-PBE, the Alexandria database).

Lattice parameters (Å, degrees): 7.1011 7.1011 7.1011 90.00 90.00 90.00
Last column: nearest neighbours and their distance in Å.
Space group F-43m (No. 216)
Symmetry-distinct sites (fractional):
Ca 0.0000 0.0000 0.0000 [4 per cell]  12 Cr 2.94, 4 Au 3.07
Cr 0.1281 0.1281 0.3719 [16 per cell]  6 Cr 2.45-2.57
Au 0.2500 0.2500 0.7500 [4 per cell]  12 Cr 2.95, 4 Ca 3.07

Output
E = -162.86 eV per cell
ρ = 8.26 g/cm³
energy of formation = 0.51 eV/atom
volume = 358.08 Å³/cell


[4]
# CaZrAs2

A relaxed structure of CaZrAs2 (GGA-PBE, the Alexandria database).

Lattice parameters (Å, degrees): 3.4029 3.4269 7.3506 90.00 90.00 90.00
Last column: nearest neighbours and their distance in Å.
Space group Pmmm (No. 47)
Symmetry-distinct sites (fractional):
Ca 0.0000 0.0000 0.0000 [1 per cell]  8 As 3.16, 4 Ca 3.40-3.43
Zr 0.0000 0.0000 0.5000 [1 per cell]  8 As 2.92
As 0.5000 0.5000 0.2776 [2 per cell]  4 Zr 2.92, 4 Ca 3.16

Output
E = -23.29 eV per cell
offset from the most stable computed form = 0.320 eV per atom
ρ = 5.45 g/cm³
energy of formation = -0.86 eV/atom
volume = 85.72 Å³/cell


[5]
# Mn2ReOs

A relaxed structure of Mn2ReOs (GGA-PBE, the Alexandria database).

Lattice parameters (Å, degrees): 2.6929 3.7428 5.2977 90.00 90.00 90.00
Last column: nearest neighbours and their distance in Å.
Space group Pmm2 (No. 25)
Symmetry-distinct sites (fractional):
Mn 0.0000 0.0000 0.0000 [1 per cell]  2 Os 2.57-2.73, 6 Mn 2.61-2.69, 4 Re 2.68
Mn 0.5000 0.5000 0.2304 [1 per cell]  2 Re 2.60-2.70, 6 Mn 2.61-2.69, 4 Os 2.67
Re 0.5000 0.5000 0.7405 [1 per cell]  6 Mn 2.60-2.70, 4 Os 2.67, 2 Re 2.69
Os 0.0000 0.0000 0.4845 [1 per cell]  6 Mn 2.57-2.73, 4 Re 2.67, 2 Os 2.69

Output
E = -41.75 eV per cell
ρ = 15.12 g/cm³
energy of formation = 0.07 eV/atom
volume = 53.40 Å³/cell


[6]
# Nd4RhCl5

A relaxed structure of Nd4RhCl5 (GGA-PBE, the Alexandria database).

Lattice parameters (Å, degrees): 18.7296 3.9950 8.5535 90.00 106.79 90.00
Last column: nearest neighbours and their distance in Å.
Space group C2/m (No. 12)
Symmetry-distinct sites (fractional):
Nd 0.0025 0.0000 0.2768 [4 per cell]  2 Rh 2.77, 4 Cl 3.02-3.09
Nd 0.1587 0.5000 0.6150 [4 per cell]  1 Rh 2.85, 5 Cl 2.85-3.12
Rh 0.0000 0.5000 0.5000 [2 per cell]  6 Nd 2.77-2.85
Cl 0.0000 0.5000 0.0000 [2 per cell]  4 Nd 3.09
Cl 0.1655 0.0000 0.8562 [4 per cell]  3 Nd 2.85-3.02
Cl 0.1733 0.0000 0.3749 [4 per cell]  4 Nd 2.93-3.12

Output
uncorrected formation energy = -1.6801 eV/atom
E = -104.91 eV per cell
ρ = 4.65 g/cm³
volume = 612.72 Å³/cell


[7]
# MnInCl5

A relaxed structure of MnInCl5 (GGA-PBE, the Alexandria database).

Lattice parameters (Å, degrees): 10.0497 10.1988 9.4789 90.00 118.30 90.00
Last column: nearest neighbours and their distance in Å.
Space group C2/c (No. 15)
Symmetry-distinct sites (fractional):
Mn 0.0000 0.0000 0.0000 [4 per cell]  6 Cl 2.43-2.62
In 0.0000 0.3773 0.2500 [4 per cell]  4 Cl 2.40-2.42
Cl 0.0000 0.0509 0.7500 [4 per cell]  2 Mn 2.43
Cl 0.0215 0.2542 0.4757 [8 per cell]  1 In 2.40, 1 Mn 2.62
Cl 0.2077 0.4690 0.8469 [8 per cell]  1 In 2.42, 1 Mn 2.61

Output
uncorrected formation energy = -1.0182 eV/atom
E = -113.07 eV per cell
ρ = 2.69 g/cm³
volume = 855.42 Å³/cell


[8]
# SiTePbN2

A relaxed structure of SiTePbN2 (GGA-PBE, the Alexandria database).

Lattice parameters (Å, degrees): 4.4345 4.4345 6.4091 90.00 90.00 90.00
Last column: nearest neighbours and their distance in Å.
Space group P4/mmm (No. 123)
Symmetry-distinct sites (fractional):
Si 0.0000 0.0000 0.0000 [1 per cell]  4 Te 3.14
Te 0.5000 0.5000 0.0000 [1 per cell]  4 Si 3.14, 2 Pb 3.20
Pb 0.5000 0.5000 0.5000 [1 per cell]  4 N 2.22
N 0.0000 0.5000 0.5000 [2 per cell]  2 Pb 2.22

Output
uncorrected formation energy = 1.8056 eV/atom
E = -19.90 eV per cell
offset from the most stable computed form = 0.803 eV per atom
ρ = 5.15 g/cm³
volume = 126.03 Å³/cell


[9]
# BaEr2In

A relaxed structure of BaEr2In (GGA-PBE, the Alexandria database).

Lattice parameters (Å, degrees): 3.6449 3.6449 36.0509 90.00 90.00 120.00
Last column: nearest neighbours and their distance in Å.
Space group R-3m (No. 166, hexagonal axes)
Symmetry-distinct sites (fractional):
Ba 0.0000 0.0000 0.0000 [3 per cell]  2 Er 3.63, 6 Ba 3.64
Er 0.0000 0.0000 0.1007 [6 per cell]  3 In 3.17
In 0.0000 0.0000 0.5000 [3 per cell]  6 Er 3.17

Output
E = -40.14 eV per cell
offset from the most stable computed form = 0.190 eV per atom
ρ = 7.05 g/cm³
energy of formation = 0.10 eV/atom
volume = 414.77 Å³/cell


[10]
# CrTeN2Cl

A relaxed structure of CrTeN2Cl (GGA-PBE, the Alexandria database).

Lattice parameters (Å, degrees): 4.0938 4.0938 5.3068 90.00 90.00 90.00
Last column: nearest neighbours and their distance in Å.
Space group P4/mmm (No. 123)
Symmetry-distinct sites (fractional):
Cr 0.0000 0.0000 0.0000 [1 per cell]  4 Te 2.89
Te 0.5000 0.5000 0.0000 [1 per cell]  2 Cl 2.65, 4 Cr 2.89
N 0.0000 0.5000 0.5000 [2 per cell]  2 Cl 2.05
Cl 0.5000 0.5000 0.5000 [1 per cell]  4 N 2.05

Output
uncorrected formation energy = 2.1161 eV/atom
E = -20.68 eV per cell
offset from the most stable computed form = 1.549 eV per atom
ρ = 4.54 g/cm³
volume = 88.94 Å³/cell


[11]
# BRu3Se

A relaxed structure of BRu3Se (GGA-PBE, the Alexandria database).

Lattice parameters (Å, degrees): 4.1194 4.1194 4.1194 90.00 90.00 90.00
Last column: nearest neighbours and their distance in Å.
Space group Pm-3m (No. 221)
Symmetry-distinct sites (fractional):
B 0.0000 0.0000 0.0000 [1 per cell]  6 Ru 2.06
Ru 0.0000 0.0000 0.5000 [3 per cell]  2 B 2.06
Se 0.5000 0.5000 0.5000 [1 per cell]  12 Ru 2.91

Output
uncorrected formation energy = 0.3942 eV/atom
E = -36.02 eV per cell
offset from the most stable computed form = 0.000 eV per atom
ρ = 9.34 g/cm³
volume = 69.90 Å³/cell


[12]
# K2SbF4

A relaxed structure of K2SbF4 (GGA-PBE, the Alexandria database).

Lattice parameters (Å, degrees): 4.8754 4.8754 13.1007 90.00 90.00 90.00
Last column: nearest neighbours and their distance in Å.
Space group I4/mmm (No. 139)
Symmetry-distinct sites (fractional):
K 0.0000 0.0000 0.1369 [4 per cell]  1 F 2.53
Sb 0.0000 0.0000 0.5000 [2 per cell]  6 F 2.23-2.44
F 0.0000 0.0000 0.3299 [4 per cell]  1 Sb 2.23
F 0.0000 0.5000 0.0000 [4 per cell]  2 Sb 2.44

Output
uncorrected formation energy = -2.2136 eV/atom
E = -58.60 eV per cell
ρ = 2.94 g/cm³
volume = 311.40 Å³/cell


[13]
# Ca2BiRhCl

A relaxed structure of Ca2BiRhCl (GGA-PBE, the Alexandria database).

Lattice parameters (Å, degrees): 5.2991 5.2991 4.5692 90.00 90.00 90.00
Last column: nearest neighbours and their distance in Å.
Space group P4/mmm (No. 123)
Symmetry-distinct sites (fractional):
Ca 0.0000 0.5000 0.0000 [2 per cell]  2 Cl 2.65
Bi 0.0000 0.0000 0.5000 [1 per cell]  8 Ca 3.50, 4 Rh 3.75
Rh 0.5000 0.5000 0.5000 [1 per cell]  2 Cl 2.28
Cl 0.5000 0.5000 0.0000 [1 per cell]  2 Rh 2.28

Output
uncorrected formation energy = -0.6309 eV/atom
E = -20.24 eV per cell
ρ = 5.53 g/cm³
volume = 128.30 Å³/cell


[14]
# AcCdIr

A relaxed structure of AcCdIr (GGA-PBE, the Alexandria database).

Lattice parameters (Å, degrees): 6.9746 6.9746 6.9746 90.00 90.00 90.00
Last column: nearest neighbours and their distance in Å.
Space group F-43m (No. 216)
Symmetry-distinct sites (fractional):
Ac 0.0000 0.0000 0.0000 [4 per cell]  4 Ir 3.02
Cd 0.0000 0.0000 0.5000 [4 per cell]  4 Ir 3.02
Ir 0.2500 0.2500 0.2500 [4 per cell]  4 Cd 3.02, 4 Ac 3.02

Output
E = -59.47 eV per cell
offset from the most stable computed form = 0.146 eV per atom
ρ = 10.41 g/cm³
energy of formation = -0.33 eV/atom
volume = 339.28 Å³/cell


[15]
# GaTeI2N

A relaxed structure of GaTeI2N (GGA-PBE, the Alexandria database).

Lattice parameters (Å, degrees): 5.7614 5.7614 5.3939 90.00 90.00 90.00
Last column: nearest neighbours and their distance in Å.
Space group P4/mmm (No. 123)
Symmetry-distinct sites (fractional):
Ga 0.0000 0.0000 0.0000 [1 per cell]  2 Te 2.70, 4 I 2.88
Te 0.0000 0.0000 0.5000 [1 per cell]  2 Ga 2.70
I 0.0000 0.5000 0.0000 [2 per cell]  2 Ga 2.88
N 0.5000 0.5000 0.5000 [1 per cell]  8 I 3.95, 4 Te 4.07

Output
uncorrected formation energy = 1.1014 eV/atom
E = -12.09 eV per cell
offset from the most stable computed form = 0.609 eV per atom
ρ = 4.31 g/cm³
volume = 179.04 Å³/cell


[16]
# CaZn12Pd6

A relaxed structure of CaZn12Pd6 (GGA-PBE, the Alexandria database).

Lattice parameters (Å, degrees): 11.4180 11.4180 8.6762 90.00 90.00 120.00
Last column: nearest neighbours and their distance in Å.
Space group R-3m (No. 166, hexagonal axes)
Symmetry-distinct sites (fractional):
Ca 0.0000 0.0000 0.0000 [3 per cell]  6 Zn 3.15
Zn 0.0000 0.3878 0.5000 [18 per cell]  3 Zn 2.56-2.70, 4 Pd 2.56-2.60
Zn 0.0883 0.1766 0.3023 [18 per cell]  4 Pd 2.61-2.82, 2 Zn 2.70
Pd 0.0558 0.5279 0.2469 [18 per cell]  8 Zn 2.56-2.82

Output
E = -162.99 eV per cell
ρ = 7.44 g/cm³
energy of formation = -0.31 eV/atom
volume = 979.57 Å³/cell


[17]
# In2AgHg

A relaxed structure of In2AgHg (GGA-PBE, the Alexandria database).

Lattice parameters (Å, degrees): 4.4872 4.4872 9.3372 90.00 90.00 90.00
Last column: nearest neighbours and their distance in Å.
Space group I-4m2 (No. 119)
Symmetry-distinct sites (fractional):
In 0.0000 0.0000 0.0000 [2 per cell]  4 Hg 3.17, 4 In 3.24, 4 Ag 3.24
In 0.0000 0.5000 0.2500 [2 per cell]  4 Ag 3.17, 4 Hg 3.24, 4 In 3.24
Ag 0.0000 0.5000 0.7500 [2 per cell]  8 In 3.17-3.24, 4 Hg 3.24
Hg 0.0000 0.0000 0.5000 [2 per cell]  8 In 3.17-3.24, 4 Ag 3.24

Output
E = -16.80 eV per cell
ρ = 9.51 g/cm³
energy of formation = 0.06 eV/atom
volume = 188.01 Å³/cell


[18]
# CeTc2Ge2P

A relaxed structure of CeTc2Ge2P (GGA-PBE, the Alexandria database).

Lattice parameters (Å, degrees): 4.4641 4.4641 5.5714 90.00 90.00 90.00
Last column: nearest neighbours and their distance in Å.
Space group P4/mmm (No. 123)
Symmetry-distinct sites (fractional):
Ce 0.0000 0.0000 0.0000 [1 per cell]  2 P 2.79
Tc 0.0000 0.5000 0.5000 [2 per cell]  2 P 2.23
Ge 0.5000 0.5000 0.2236 [2 per cell]  1 Ge 2.49, 4 Tc 2.71
P 0.0000 0.0000 0.5000 [1 per cell]  4 Tc 2.23

Output
E = -43.71 eV per cell
ρ = 7.66 g/cm³
energy of formation = -0.40 eV/atom
volume = 111.03 Å³/cell


[19]
# Mg2ZnSi2Pd5

A relaxed structure of Mg2ZnSi2Pd5 (GGA-PBE, the Alexandria database).

Lattice parameters (Å, degrees): 9.6363 9.6363 3.4078 90.00 90.00 90.00
Last column: nearest neighbours and their distance in Å.
Space group P4/mbm (No. 127)
Symmetry-distinct sites (fractional):
Mg 0.1706 0.3294 0.0000 [4 per cell]  3 Si 2.73-2.92, 6 Pd 2.88-3.01
Zn 0.0000 0.0000 0.0000 [2 per cell]  8 Pd 2.69
Si 0.1294 0.6294 0.0000 [4 per cell]  6 Pd 2.41-2.45
Pd 0.0000 0.5000 0.5000 [2 per cell]  4 Si 2.45
Pd 0.0743 0.7975 0.5000 [8 per cell]  2 Si 2.41, 2 Zn 2.69

Output
uncorrected formation energy = -0.6053 eV/atom
E = -94.65 eV per cell
ρ = 7.37 g/cm³
volume = 316.44 Å³/cell


[20]
# Ac2Np2N5

A relaxed structure of Ac2Np2N5 (GGA-PBE, the Alexandria database).

Lattice parameters (Å, degrees): 17.3905 6.1480 6.0240 90.00 90.00 90.00
Last column: nearest neighbours and their distance in Å.
Space group Ima2 (No. 46)
Symmetry-distinct sites (fractional):
Ac 0.1151 0.0109 0.0000 [8 per cell]  5 N 2.63-2.93
Np 0.0000 0.0000 0.4910 [4 per cell]  6 N 2.16-2.30
Np 0.2500 0.5348 0.9815 [4 per cell]  4 N 2.15-2.25
N 0.0129 0.7459 0.7374 [8 per cell]  2 Np 2.16-2.17
N 0.1307 0.0597 0.4812 [8 per cell]  2 Np 2.15-2.30
N 0.2500 0.6321 0.6344 [4 per cell]  2 Np 2.17-2.25

Output
uncorrected formation energy = -1.1441 eV/atom
E = -344.09 eV per cell
offset from the most stable computed form = 0.000 eV per atom
ρ = 10.29 g/cm³
volume = 644.07 Å³/cell